# V2SiHg GGA-PBE optimized geometry
data_V2SiHg
_chemical_formula_sum 'V8 Si4 Hg4'
_cell_length_a 3.781
_cell_length_b 3.781
_cell_length_c 18.717
_cell_angle_alpha 90.00
_cell_angle_beta 90.00
_cell_angle_gamma 90.00
_space_group_name_H-M_alt 'I -4 2 d'
_space_group_IT_number 122
_space_group_name_Hall 'I -4 2bw'
loop_
_atom_site_label
_atom_site_fract_x
_atom_site_fract_y
_atom_site_fract_z
V1 0.217 0.250 0.125
Si1 0.000 0.000 0.000
Hg1 0.000 0.000 0.500
# - DOS at the Fermi energy: 0.7518 states/eV per atom
# - E_form (uncorrected): 584 meV/atom